P:
Material: SiAuI2O
Method: DFT, PBE
State: optimized geometry

abc: 5.699 5.699 4.010
angles: 90.00 90.00 90.00
Sites, in units of the cell vectors:
O: 0.000 0.000 0.500
I: 0.000 0.500 0.000
Si: 0.500 0.500 0.500
Au: 0.000 0.000 0.000
I: 0.500 0.000 0.000

Results
Volume, Å³/f.u.: 130.2
Crystal system: tetragonal

Q:
Material: SiAuI2O
Method: DFT, PBE
State: optimized geometry

abc: 5.621 5.621 3.513
angles: 90.00 90.00 90.00
Sites, in units of the cell vectors:
Au: 0.500 0.500 0.500
Si: 0.000 0.000 0.000
I: 0.000 0.500 0.000
I: 0.500 0.000 0.000
O: 0.000 0.000 0.500

Results
Volume, Å³/f.u.: 111.0
Crystal system: tetragonal

Most stable structure, least stable structure: Q, P.

P:
Material: SrAuIO2
Method: DFT, PBE
State: optimized geometry

abc: 4.476 4.476 7.390
angles: 90.00 90.00 90.00
Last column: magnetic moment on the atom in μB.
Sites, in units of the cell vectors:
Sr: 0.000 0.000 0.000  0.05
Au: 0.500 0.500 0.500  0.00
O: 0.000 0.500 0.000  0.81
O: 0.500 0.000 0.000  0.81
I: 0.000 0.000 0.500  0.00

Results
Volume, Å³/f.u.: 148.1
Crystal system: tetragonal

Q:
Material: SrAuIO2
Method: DFT, PBE
State: optimized geometry

abc: 4.487 4.487 5.294
angles: 90.00 90.00 90.00
Sites, in units of the cell vectors:
I: 0.000 0.000 0.500
O: 0.000 0.500 0.000
O: 0.500 0.000 0.000
Sr: 0.500 0.500 0.500
Au: 0.000 0.000 0.000

Results
Volume, Å³/f.u.: 106.6
Crystal system: tetragonal

Most stable structure, least stable structure: Q, P.

P:
Material: TaAuIO2
Method: DFT, PBE
State: optimized geometry

abc: 3.964 3.964 6.159
angles: 90.00 90.00 90.00
Sites, in units of the cell vectors:
O: 0.500 0.000 0.000
O: 0.000 0.500 0.000
Ta: 0.000 0.000 0.000
I: 0.000 0.000 0.500
Au: 0.500 0.500 0.500

Results
Volume, Å³/f.u.: 96.8
Crystal system: tetragonal

Q:
Material: TaAuIO2
Method: DFT, PBE
State: optimized geometry

abc: 4.148 4.148 5.556
angles: 90.00 90.00 90.00
Last column: magnetic moment on the atom in μB.
Sites, in units of the cell vectors:
O: 0.000 0.500 0.000  -0.14
O: 0.500 0.000 0.000  -0.14
Au: 0.000 0.000 0.000  -0.10
I: 0.000 0.000 0.500  -0.03
Ta: 0.500 0.500 0.500  1.80

Results
Volume, Å³/f.u.: 95.6
Crystal system: tetragonal

Most stable structure, least stable structure: P, Q.

P:
Material: TcAuI2O
Method: DFT, PBE
State: optimized geometry

abc: 5.578 5.578 3.739
angles: 90.00 90.00 90.00
Sites, in units of the cell vectors:
Tc: 0.000 0.000 0.000
I: 0.500 0.000 0.000
I: 0.000 0.500 0.000
O: 0.000 0.000 0.500
Au: 0.500 0.500 0.500

Results
Volume, Å³/f.u.: 116.3
Crystal system: tetragonal

Q:
Material: TcAuI2O
Method: DFT, PBE
State: optimized geometry

abc: 5.775 5.775 3.973
angles: 90.00 90.00 90.00
Last column: magnetic moment on the atom in μB.
Sites, in units of the cell vectors:
O: 0.000 0.000 0.500  0.01
I: 0.500 0.000 0.000  0.07
I: 0.000 0.500 0.000  0.07
Au: 0.000 0.000 0.000  0.01
Tc: 0.500 0.500 0.500  3.73

Results
Volume, Å³/f.u.: 132.5
Crystal system: tetragonal

Most stable structure, least stable structure: P, Q.

P:
Material: TcAuIO2
Method: DFT, PBE
State: optimized geometry

abc: 3.875 3.875 6.035
angles: 90.00 90.00 90.00
Sites, in units of the cell vectors:
I: 0.000 0.000 0.500
O: 0.000 0.500 0.000
Au: 0.500 0.500 0.500
Tc: 0.000 0.000 0.000
O: 0.500 0.000 0.000

Results
Volume, Å³/f.u.: 90.6
Crystal system: tetragonal

Q:
Material: TcAuIO2
Method: DFT, PBE
State: optimized geometry

abc: 4.001 4.001 6.907
angles: 90.00 90.00 90.00
Last column: magnetic moment on the atom in μB.
Sites, in units of the cell vectors:
I: 0.000 0.000 0.500  0.06
O: 0.500 0.000 0.000  0.40
Tc: 0.500 0.500 0.500  3.10
O: 0.000 0.500 0.000  0.40
Au: 0.000 0.000 0.000  0.32

Results
Volume, Å³/f.u.: 110.6
Crystal system: tetragonal

Most stable structure, least stable structure: P, Q.

P:
Material: TeAuI2O
Method: DFT, PBE
State: optimized geometry

abc: 5.845 5.845 3.982
angles: 90.00 90.00 90.00
Sites, in units of the cell vectors:
Au: 0.000 0.000 0.000
O: 0.000 0.000 0.500
I: 0.500 0.000 0.000
I: 0.000 0.500 0.000
Te: 0.500 0.500 0.500

Results
Volume, Å³/f.u.: 136.0
Crystal system: tetragonal

Q:
Material: TeAuI2O
Method: DFT, PBE
State: optimized geometry

abc: 6.078 6.078 4.035
angles: 90.00 90.00 90.00
Sites, in units of the cell vectors:
I: 0.000 0.500 0.000
Au: 0.500 0.500 0.500
I: 0.500 0.000 0.000
Te: 0.000 0.000 0.000
O: 0.000 0.000 0.500

Results
Volume, Å³/f.u.: 149.0
Crystal system: tetragonal

R:
Material: TeAuI2O
Method: DFT, PBE
State: optimized geometry

abc: 5.300 5.300 4.487
angles: 90.00 90.00 90.00
Sites, in units of the cell vectors:
I: 0.000 0.500 0.000
Au: 0.500 0.500 0.500
O: 0.000 0.000 0.000
Te: 0.000 0.000 0.500
I: 0.500 0.000 0.000

Results
Volume, Å³/f.u.: 126.0
Crystal system: tetragonal

S:
Material: TeAuI2O
Method: DFT, PBE
State: optimized geometry

abc: 5.543 5.543 5.508
angles: 90.00 90.00 90.00
Sites, in units of the cell vectors:
I: 0.000 0.500 0.000
Au: 0.000 0.000 0.000
Te: 0.000 0.000 0.500
O: 0.500 0.500 0.500
I: 0.500 0.000 0.000

Results
Volume, Å³/f.u.: 169.2
Crystal system: tetragonal

Most stable structure, least stable structure: Q, S.